LaTlI | PBE | optimized geometry

Its formation energy from raw total energies is -0.709 eV per atom.

Cell and atoms, written as POSCAR:
```
LaTlI
1.0
-1.6916 4.7018 0.7517
-4.0669 -1.0036 -2.8747
-5.9761 -2.9486 4.9947
La Tl I
2 2 2
direct
0.2500 0.6098 0.7804
0.7500 0.3902 0.2196
0.2500 0.9466 0.1068
0.7500 0.0534 0.8932
0.7500 0.7501 0.4998
0.2500 0.2499 0.5002
```



LaSbTe | PBE | optimized geometry

Its formation energy from raw total energies is -1.255 eV per atom.

Cell and atoms, written as POSCAR:
```
LaSbTe
1.0
4.3852 0.0000 0.0000
0.0000 8.0884 0.0000
0.0000 0.0000 10.7511
La Te Sb
4 4 4
direct
0.7500 0.2850 0.8437
0.2500 0.2150 0.3437
0.7500 0.7850 0.6563
0.2500 0.7150 0.1563
0.7500 0.9099 0.3431
0.7500 0.4099 0.1569
0.2500 0.5901 0.8431
0.2500 0.0901 0.6569
0.7500 0.8938 0.9568
0.7500 0.3938 0.5432
0.2500 0.6062 0.4568
0.2500 0.1062 0.0432
```



SbP2PbS | PBE | optimized geometry

The calculation puts the excess energy over the best structure of this formula in the dataset at 426 meV/atom. Its formation energy from raw total energies is 1.129 eV per atom.

Cell and atoms, written as POSCAR:
```
SbP2PbS
1.0
-4.5063 2.6953 -0.6304
-2.5533 -4.5125 -1.0424
-1.0429 -0.5695 5.0201
Sb S Pb P
1 1 1 2
direct
0.5000 0.5000 0.5000
0.0000 0.0000 0.5000
0.0000 0.0000 0.0000
0.0000 0.5000 0.0000
0.5000 0.0000 0.0000
```



AsP2Ru | PBE | optimized geometry

The calculation puts the formation energy at 413.6 meV per atom.

Cell and atoms, written as POSCAR:
```
AsP2Ru
1.0
2.8696 -0.0007 0.0000
-1.4020 2.5037 0.0000
0.0000 0.0000 9.1869
Ru P As
1 2 1
direct
0.0000 0.0000 0.4729
0.5000 0.5000 0.2671
0.0000 0.0000 0.0593
0.5000 0.5000 0.7007
```



La2NiCSe | PBE | optimized geometry

Its formation energy from raw total energies is -0.858 eV per atom.

Cell and atoms, written as POSCAR:
```
La2NiCSe
1.0
-0.9765 -3.6972 -3.6884
4.4737 -2.5281 1.3498
-1.8754 -1.9890 2.4903
C Ni La Se
1 1 2 1
direct
0.0000 0.0000 0.0000
0.0000 0.0000 0.5000
0.0000 0.5000 0.0000
0.5000 0.0000 0.0000
0.5000 0.5000 0.5000
```



Be2Ga2Os | PBE | optimized geometry

The calculation puts the formation energy at 157.3 meV per atom.

Cell and atoms, written as POSCAR:
```
Be2Ga2Os
1.0
-6.0233 -1.0536 -0.3044
0.7218 -5.0877 3.3282
-0.4396 1.7241 2.7310
Ga Be Os
4 4 2
direct
0.3347 0.1653 0.5000
0.1653 0.6653 0.5000
0.6653 0.8347 0.5000
0.8347 0.3347 0.5000
0.8673 0.6327 0.0000
0.3673 0.8673 0.0000
0.1327 0.3673 0.0000
0.6327 0.1327 0.0000
0.5000 0.5000 0.0000
0.0000 0.0000 0.0000
```



Q: What is the formula in the sixth record?
A: Be2Ga2Os